Run 1
Entry from the Alexandria database: a relaxed SmDy2Tm2 crystal (PBE).

Structure (CIF):
```
data_SmDy2Tm2
_chemical_formula_sum 'Sm2 Dy4 Tm4'
_cell_length_a 9.276
_cell_length_b 9.276
_cell_length_c 3.703
_cell_angle_alpha 90.00
_cell_angle_beta 90.00
_cell_angle_gamma 90.00
_symmetry_space_group_name_H-M 'P 4/m b m'
_symmetry_Int_Tables_number 127
_symmetry_space_group_name_Hall '-P 4 2ab'
loop_
_atom_site_label
_atom_site_fract_x
_atom_site_fract_y
_atom_site_fract_z
Sm1 0.000 0.000 0.000
Dy1 0.126 0.374 0.000
Tm1 0.171 0.671 0.500
```

Total moment ... 0.000 μB/atom



Run 2
Entry from the Alexandria database: a relaxed SmDy2Tm2 crystal (PBE).

Structure (CIF):
```
data_SmDy2Tm2
_chemical_formula_sum 'Sm2 Dy4 Tm4'
_cell_length_a 3.492
_cell_length_b 5.676
_cell_length_c 16.242
_cell_angle_alpha 90.00
_cell_angle_beta 90.00
_cell_angle_gamma 90.00
_symmetry_space_group_name_H-M 'A m m 2'
_symmetry_Int_Tables_number 38
_symmetry_space_group_name_Hall 'A 2 -2'
loop_
_atom_site_label
_atom_site_fract_x
_atom_site_fract_y
_atom_site_fract_z
Sm1 0.000 0.000 0.000
Dy1 0.000 0.000 0.381
Dy2 0.500 0.000 0.573
Tm1 0.000 0.000 0.762
Tm2 0.500 0.000 0.192
```

Total moment ... 0.000 μB/atom



Which of them is the least stable? Correct choice: run 2.



Run 1
Entry from the Alexandria database: a relaxed Sm12Dy2Tm5 crystal (PBE).

Structure (CIF):
```
data_Sm12Dy2Tm5
_chemical_formula_sum 'Sm24 Dy4 Tm10'
_cell_length_a 15.798
_cell_length_b 9.236
_cell_length_c 8.629
_cell_angle_alpha 90.00
_cell_angle_beta 91.37
_cell_angle_gamma 90.00
_symmetry_space_group_name_H-M 'C 1 2/m 1'
_symmetry_Int_Tables_number 12
_symmetry_space_group_name_Hall '-C 2y'
loop_
_atom_site_label
_atom_site_fract_x
_atom_site_fract_y
_atom_site_fract_z
Sm1 0.061 0.000 0.340
Sm2 0.087 0.500 0.883
Sm3 0.127 0.195 0.670
Sm4 0.153 0.318 0.238
Dy1 0.000 0.173 0.000
Tm1 0.000 0.500 0.500
Tm2 0.200 0.000 0.021
Tm3 0.231 0.500 0.570
```

Total moment ... 0.000 μB/atom



Run 2
Entry from the Alexandria database: a relaxed Sm12Dy2Tm5 crystal (PBE).

Structure (CIF):
```
data_Sm12Dy2Tm5
_chemical_formula_sum 'Sm24 Dy4 Tm10'
_cell_length_a 16.013
_cell_length_b 9.919
_cell_length_c 11.344
_cell_angle_alpha 90.00
_cell_angle_beta 134.83
_cell_angle_gamma 90.00
_symmetry_space_group_name_H-M 'C 1 2/m 1'
_symmetry_Int_Tables_number 12
_symmetry_space_group_name_Hall '-C 2y'
loop_
_atom_site_label
_atom_site_fract_x
_atom_site_fract_y
_atom_site_fract_z
Sm1 0.096 0.000 0.300
Sm2 0.102 0.254 0.803
Sm3 0.105 0.500 0.295
Sm4 0.198 0.256 0.600
Dy1 0.000 0.250 0.000
Tm1 0.000 0.000 0.500
Tm2 0.190 0.000 0.084
Tm3 0.204 0.500 0.106
```

Total moment ... 0.000 μB/atom



Which of them is the least stable? Correct choice: run 1.



Run 1
Entry from the Alexandria database: a relaxed Sm5DyTm4 crystal (PBE).

Structure (CIF):
```
data_Sm5DyTm4
_chemical_formula_sum 'Sm10 Dy2 Tm8'
_cell_length_a 16.988
_cell_length_b 3.532
_cell_length_c 11.359
_cell_angle_alpha 90.00
_cell_angle_beta 108.89
_cell_angle_gamma 90.00
_symmetry_space_group_name_H-M 'C 1 2/m 1'
_symmetry_Int_Tables_number 12
_symmetry_space_group_name_Hall '-C 2y'
loop_
_atom_site_label
_atom_site_fract_x
_atom_site_fract_y
_atom_site_fract_z
Sm1 0.000 0.000 0.000
Sm2 0.189 0.500 0.077
Sm3 0.211 0.500 0.616
Dy1 0.000 0.000 0.500
Tm1 0.082 0.500 0.293
Tm2 0.105 0.000 0.795
```

Total moment ... 0.000 μB/atom



Run 2
Entry from the Alexandria database: a relaxed Sm5DyTm4 crystal (PBE).

Structure (CIF):
```
data_Sm5DyTm4
_chemical_formula_sum 'Sm10 Dy2 Tm8'
_cell_length_a 10.188
_cell_length_b 10.188
_cell_length_c 6.301
_cell_angle_alpha 90.00
_cell_angle_beta 90.00
_cell_angle_gamma 90.00
_symmetry_space_group_name_H-M 'I 4'
_symmetry_Int_Tables_number 79
_symmetry_space_group_name_Hall 'I 4'
loop_
_atom_site_label
_atom_site_fract_x
_atom_site_fract_y
_atom_site_fract_z
Sm1 0.000 0.000 0.000
Sm2 0.146 0.766 0.271
Dy1 0.000 0.000 0.542
Tm1 0.048 0.653 0.768
```

Total moment ... 0.000 μB/atom



Which of them is the least stable? Correct choice: run 2.



Run 1
Entry from the Alexandria database: a relaxed SmDy3Tm3 crystal (PBE).

Structure (CIF):
```
data_SmDy3Tm3
_chemical_formula_sum 'Sm8 Dy24 Tm24'
_cell_length_a 13.328
_cell_length_b 21.830
_cell_length_c 6.498
_cell_angle_alpha 90.00
_cell_angle_beta 108.97
_cell_angle_gamma 90.00
_symmetry_space_group_name_H-M 'C 1 m 1'
_symmetry_Int_Tables_number 8
_symmetry_space_group_name_Hall 'C -2y'
loop_
_atom_site_label
_atom_site_fract_x
_atom_site_fract_y
_atom_site_fract_z
Sm1 0.000 0.000 0.000
Sm2 0.084 0.084 0.594
Sm3 0.333 0.500 0.428
Dy1 0.000 0.267 0.237
Dy2 0.045 0.500 0.305
Dy3 0.100 0.367 0.971
Dy4 0.139 0.139 0.141
Dy5 0.221 0.500 0.862
Dy6 0.227 0.228 0.760
Dy7 0.400 0.133 0.504
Tm1 0.193 0.374 0.540
Tm2 0.253 0.000 0.328
Tm3 0.266 0.266 0.285
Tm4 0.342 0.091 0.972
Tm5 0.373 0.373 0.075
Tm6 0.465 0.284 0.721
Tm7 0.467 0.000 0.752
```

Total moment ... 0.024 μB/atom



Run 2
Entry from the Alexandria database: a relaxed SmDy3Tm3 crystal (PBE).

Structure (CIF):
```
data_SmDy3Tm3
_chemical_formula_sum 'Sm2 Dy6 Tm6'
_cell_length_a 9.5157
_cell_length_b 9.5157
_cell_length_c 5.6209
_cell_angle_alpha 90.00
_cell_angle_beta 90.00
_cell_angle_gamma 120.00
_symmetry_space_group_name_H-M 'P 63/m'
_symmetry_Int_Tables_number 176
_symmetry_space_group_name_Hall '-P 6c'
loop_
_atom_site_label
_atom_site_fract_x
_atom_site_fract_y
_atom_site_fract_z
Sm1 0.3333 0.6667 0.2500
Dy1 0.0485 0.2385 0.2500
Tm1 0.0955 0.4770 0.7500
```

Total moment ... 0.000 μB/atom



Which of them is the least stable? Correct choice: run 1.